First-principles (PBE) data for a relaxed FeN crystal, as listed in Alexandria via LeMat-Bulk.

Space-group type: Fddd

abc: 5.3799 9.1386 7.8865
angles: 90.00 90.00 90.00
With the nearest neighbours (Å) after each atom.
Sites, in units of the cell vectors:
Fe1 0.0000 0.3674 0.5000  4 N 1.81-1.87
Fe2 0.2500 0.6174 0.2500  4 N 1.81-1.87
Fe3 0.7500 0.1174 0.2500  4 N 1.81-1.87
Fe4 0.0000 0.1326 0.0000  4 N 1.81-1.87
Fe5 0.2500 0.1174 0.7500  4 N 1.81-1.87
Fe6 0.2500 0.3826 0.7500  4 N 1.81-1.87
Fe7 0.5000 0.6326 0.0000  4 N 1.81-1.87
Fe8 0.7500 0.6174 0.7500  4 N 1.81-1.87
Fe9 0.7500 0.8826 0.7500  4 N 1.81-1.87
Fe10 0.2500 0.8826 0.2500  4 N 1.81-1.87
Fe11 0.0000 0.8674 0.0000  4 N 1.81-1.87
Fe12 0.5000 0.8674 0.5000  4 N 1.81-1.87
Fe13 0.7500 0.3826 0.2500  4 N 1.81-1.87
Fe14 0.5000 0.1326 0.5000  4 N 1.81-1.87
Fe15 0.0000 0.6326 0.5000  4 N 1.81-1.87
Fe16 0.5000 0.3674 0.0000  4 N 1.81-1.87
N1 0.5000 0.5000 0.1806  4 Fe 1.81-1.87
N2 0.2500 0.7500 0.4306  4 Fe 1.81-1.87
N3 0.0000 0.5000 0.3194  4 Fe 1.81-1.87
N4 0.7500 0.7500 0.5694  4 Fe 1.81-1.87
N5 0.7500 0.2500 0.4306  4 Fe 1.81-1.87
N6 0.5000 0.0000 0.6806  4 Fe 1.81-1.87
N7 0.7500 0.2500 0.0694  4 Fe 1.81-1.87
N8 0.2500 0.2500 0.5694  4 Fe 1.81-1.87
N9 0.2500 0.7500 0.0694  4 Fe 1.81-1.87
N10 0.2500 0.2500 0.9306  4 Fe 1.81-1.87
N11 0.5000 0.0000 0.3194  4 Fe 1.81-1.87
N12 0.7500 0.7500 0.9306  4 Fe 1.81-1.87
N13 0.0000 0.0000 0.8194  4 Fe 1.81-1.87
N14 0.0000 0.5000 0.6806  4 Fe 1.81-1.87
N15 0.0000 0.0000 0.1806  4 Fe 1.81-1.87
N16 0.5000 0.5000 0.8194  4 Fe 1.81-1.87

=====

First-principles (PBE) data for a relaxed FeN crystal, as listed in Alexandria via LeMat-Bulk.

Space-group type: Pm-3n

abc: 5.1917 5.1917 5.1917
angles: 90.00 90.00 90.00
With the nearest neighbours (Å) after each atom.
Sites, in units of the cell vectors:
Fe1 0.7500 0.5000 0.0000  4 N 1.84
Fe2 0.0000 0.2500 0.5000  4 N 1.84
Fe3 0.5000 0.0000 0.7500  4 N 1.84
Fe4 0.0000 0.7500 0.5000  4 N 1.84
Fe5 0.5000 0.0000 0.2500  4 N 1.84
Fe6 0.2500 0.5000 0.0000  4 N 1.84
N1 0.0000 0.5000 0.2500  4 Fe 1.84
N2 0.0000 0.5000 0.7500  4 Fe 1.84
N3 0.7500 0.0000 0.5000  4 Fe 1.84
N4 0.5000 0.2500 0.0000  4 Fe 1.84
N5 0.5000 0.7500 0.0000  4 Fe 1.84
N6 0.2500 0.0000 0.5000  4 Fe 1.84

=====

First-principles (PBE) data for a relaxed Fe3N2 crystal, as listed in Alexandria via LeMat-Bulk.

Space-group type: R-3c

abc: 4.7768 4.7768 5.2365
angles: 62.86 62.86 60.00
With the nearest neighbours (Å) after each atom.
Sites, in units of the cell vectors:
N1 0.6529 0.6529 0.0413  6 Fe 1.88-2.00
N2 0.3471 0.3471 0.9587  6 Fe 1.88-2.00
N3 0.8471 0.8471 0.4587  6 Fe 1.88-2.00
N4 0.1529 0.1529 0.5413  6 Fe 1.88-2.00
Fe1 0.4322 0.0678 0.7500  4 N 1.88-2.00
Fe2 0.0678 0.7500 0.7500  4 N 1.88-2.00
Fe3 0.7500 0.4322 0.7500  4 N 1.88-2.00
Fe4 0.2500 0.5678 0.2500  4 N 1.88-2.00
Fe5 0.9322 0.2500 0.2500  4 N 1.88-2.00
Fe6 0.5678 0.9322 0.2500  4 N 1.88-2.00

=====

First-principles (PBE) data for a relaxed FeN crystal, as listed in Alexandria via LeMat-Bulk.

Space-group type: P6_3/m

abc: 7.2907 7.2907 2.8353
angles: 90.00 90.00 120.00
With the nearest neighbours (Å) after each atom.
Sites, in units of the cell vectors:
N1 0.3767 0.3071 0.2500  4 Fe 1.82-1.89
N2 0.0696 0.3767 0.7500  4 Fe 1.82-1.89
N3 0.6233 0.6929 0.7500  4 Fe 1.82-1.89
N4 0.9304 0.6233 0.2500  4 Fe 1.82-1.89
N5 0.3071 0.9304 0.7500  4 Fe 1.82-1.89
N6 0.6929 0.0696 0.2500  4 Fe 1.82-1.89
Fe1 0.8969 0.3484 0.2500  4 N 1.82-1.89
Fe2 0.4515 0.1031 0.2500  4 N 1.82-1.89
Fe3 0.3484 0.4515 0.7500  4 N 1.82-1.89
Fe4 0.6516 0.5485 0.2500  4 N 1.82-1.89
Fe5 0.1031 0.6516 0.7500  4 N 1.82-1.89
Fe6 0.5485 0.8969 0.7500  4 N 1.82-1.89

=====

First-principles (PBE) data for a relaxed FeN crystal, as listed in Alexandria via LeMat-Bulk.

Space-group type: R3m

abc: 2.7925 2.7925 15.7451
angles: 90.00 90.00 120.00
With the nearest neighbours (Å) after each atom.
Sites, in units of the cell vectors:
N1 0.6667 0.3333 0.9716  4 Fe 1.86-1.87
N2 0.3333 0.6667 0.7974  3 Fe 1.83
N3 0.3333 0.6667 0.3049  4 Fe 1.86-1.87
N4 0.6667 0.3333 0.4641  3 Fe 1.83
N5 0.0000 0.0000 0.6383  4 Fe 1.86-1.87
N6 0.0000 0.0000 0.1308  3 Fe 1.83
Fe1 0.6667 0.3333 0.6975  3 N 1.86
Fe2 0.3333 0.6667 0.0308  3 N 1.86
Fe3 0.0000 0.0000 0.3641  3 N 1.86
Fe4 0.3333 0.6667 0.1859  4 N 1.83-1.87
Fe5 0.6667 0.3333 0.8526  4 N 1.83-1.87
Fe6 0.0000 0.0000 0.5192  4 N 1.83-1.87

=====

First-principles (PBE) data for a relaxed Fe2N crystal, as listed in Alexandria via LeMat-Bulk.

Space-group type: P-31m

abc: 4.7463 4.7463 4.3204
angles: 90.00 90.00 120.00
With the nearest neighbours (Å) after each atom.
Sites, in units of the cell vectors:
N1 0.0000 0.0000 0.0000  6 Fe 1.91
N2 0.3333 0.6667 0.5000  6 Fe 1.92
N3 0.6667 0.3333 0.5000  6 Fe 1.92
Fe1 0.3310 0.0000 0.2514  3 N 1.91-1.92
Fe2 0.3310 0.3310 0.7486  3 N 1.91-1.92
Fe3 0.0000 0.6690 0.7486  3 N 1.91-1.92
Fe4 0.6690 0.0000 0.7486  3 N 1.91-1.92
Fe5 0.6690 0.6690 0.2514  3 N 1.91-1.92
Fe6 0.0000 0.3310 0.2514  3 N 1.91-1.92

=====

First-principles (PBE) data for a relaxed Fe5N crystal, as listed in Alexandria via LeMat-Bulk.

Space-group type: Cmmm

abc: 2.4682 3.9707 6.3077
angles: 108.35 90.00 90.00
With the nearest neighbours (Å) after each atom.
Sites, in units of the cell vectors:
Fe1 0.5000 0.8749 0.7498  2 N 1.94
Fe2 0.0000 0.6932 0.3865  12 Fe 2.41-2.62
Fe3 0.0000 0.3068 0.6135  12 Fe 2.41-2.62
Fe4 0.5000 0.5000 0.0000  4 N 2.34, 6 Fe 2.47-2.49
Fe5 0.5000 0.1251 0.2502  2 N 1.94
N1 0.0000 0.0000 0.0000  4 Fe 1.94

=====

First-principles (PBE) data for a relaxed FeN crystal, as listed in Alexandria via LeMat-Bulk.

Space-group type: Pm-3m

abc: 3.7706 3.7706 3.7706
angles: 90.00 90.00 90.00
With the nearest neighbours (Å) after each atom.
Sites, in units of the cell vectors:
Fe1 0.5000 0.0000 0.5000  4 N 1.89
Fe2 0.5000 0.5000 0.0000  4 N 1.89
Fe3 0.0000 0.5000 0.5000  4 N 1.89
N1 0.5000 0.0000 0.0000  4 Fe 1.89
N2 0.0000 0.0000 0.5000  4 Fe 1.89
N3 0.0000 0.5000 0.0000  4 Fe 1.89

=====

First-principles (PBE) data for a relaxed Na2FeN2 crystal, as listed in Alexandria via LeMat-Bulk.

Space-group type: P4/mbm

abc: 6.7048 6.7048 2.4583
angles: 90.00 90.00 90.00
With the nearest neighbours (Å) after each atom.
Sites, in units of the cell vectors:
Na1 0.8823 0.6177 0.0000  3 Na 2.23-2.46, 6 N 2.24-2.41
Na2 0.1177 0.3823 0.0000  3 Na 2.23-2.46, 6 N 2.24-2.41
Na3 0.6177 0.1177 0.0000  3 Na 2.23-2.46, 6 N 2.24-2.41
Na4 0.3823 0.8823 0.0000  3 Na 2.23-2.46, 6 N 2.24-2.41
N1 0.6847 0.8153 0.5000  6 Na 2.24-2.41, 2 N 2.46
N2 0.3153 0.1847 0.5000  6 Na 2.24-2.41, 2 N 2.46
N3 0.8153 0.3153 0.5000  6 Na 2.24-2.41, 2 N 2.46
N4 0.1847 0.6847 0.5000  6 Na 2.24-2.41, 2 N 2.46
Fe1 0.5000 0.5000 0.0000  2 Fe 2.46, 4 Na 2.68, 8 N 2.74
Fe2 0.0000 0.0000 0.0000  2 Fe 2.46, 4 Na 2.68, 8 N 2.74

=====

First-principles (PBE) data for a relaxed Na2FeN crystal, as listed in Alexandria via LeMat-Bulk.

Space-group type: I-42d

abc: 9.9107 9.9107 7.2302
angles: 46.74 46.74 90.00
With the nearest neighbours (Å) after each atom.
Sites, in units of the cell vectors:
Fe1 0.7500 0.2500 0.5000  2 N 1.78
Fe2 0.0000 0.0000 0.0000  2 N 1.78
Na1 0.3750 0.5816 0.7500  2 N 2.55, 2 Fe 2.85
Na2 0.4184 0.1250 0.2500  2 N 2.55, 2 Fe 2.85
Na3 0.3316 0.6250 0.2500  2 N 2.55, 2 Fe 2.85
Na4 0.8750 0.6684 0.7500  2 N 2.55, 2 Fe 2.85
N1 0.2500 0.7500 0.5000  2 Fe 1.78
N2 0.5000 0.5000 0.0000  2 Fe 1.78

=====

First-principles (PBE) data for a relaxed NaFeN crystal, as listed in Alexandria via LeMat-Bulk.

Polymorph energy (0 for the lowest one): 30 meV/atom
Space-group type: P6_3mc

abc: 3.0087 3.0087 9.8708
angles: 90.00 90.00 120.00
With the nearest neighbours (Å) after each atom.
Sites, in units of the cell vectors:
Na1 0.3333 0.6667 0.2617  3 N 2.61
Na2 0.6667 0.3333 0.7617  3 N 2.61
Fe1 0.0000 0.0000 0.5182  3 N 1.80
Fe2 0.0000 0.0000 0.0182  3 N 1.80
N1 0.6667 0.3333 0.0647  3 Fe 1.80
N2 0.3333 0.6667 0.5647  3 Fe 1.80

=====

First-principles (PBE) data for a relaxed NaFeN crystal, as listed in Alexandria via LeMat-Bulk.

Polymorph energy (0 for the lowest one): 293 meV/atom
Space-group type: I4mm

abc: 2.7324 2.7324 5.3857
angles: 104.70 104.70 90.00
With the nearest neighbours (Å) after each atom.
Sites, in units of the cell vectors:
N1 0.7336 0.7336 0.4672  4 Fe 1.96
Na1 0.9996 0.9996 0.9992  1 N 2.67, 1 Fe 2.69, 4 Na 2.73
Fe1 0.2668 0.2668 0.5336  4 N 1.96

=====

First-principles (PBE) data for a relaxed Na2FeN2 crystal, as listed in Alexandria via LeMat-Bulk.

Space-group type: I4/mmm

abc: 4.1327 4.1327 4.5171
angles: 62.78 62.78 90.00
With the nearest neighbours (Å) after each atom.
Sites, in units of the cell vectors:
Fe1 0.0000 0.0000 0.0000  2 Na 2.45, 8 N 2.69
N1 0.7500 0.2500 0.5000  4 Na 2.19
N2 0.2500 0.7500 0.5000  4 Na 2.19
Na1 0.3552 0.3552 0.2896  1 Na 2.00, 4 N 2.19
Na2 0.6448 0.6448 0.7104  1 Na 2.00, 4 N 2.19

=====

First-principles (PBE) data for a relaxed NaFeN crystal, as listed in Alexandria via LeMat-Bulk.

Polymorph energy (0 for the lowest one): 380 meV/atom
Space-group type: Amm2

abc: 2.7940 4.7487 3.4729
angles: 90.00 90.00 107.11
With the nearest neighbours (Å) after each atom.
Sites, in units of the cell vectors:
Fe1 0.6886 0.3772 0.0000  2 N 1.74
N1 0.6870 0.3740 0.5000  2 Fe 1.74
Na1 0.9578 0.9156 0.5000  3 N 2.46-2.51

=====

First-principles (PBE) data for a relaxed NaFeN crystal, as listed in Alexandria via LeMat-Bulk.

Polymorph energy (0 for the lowest one): 0 meV/atom
Space-group type: P2_1/c

abc: 5.4214 6.1721 5.7357
angles: 90.00 112.49 90.00
With the nearest neighbours (Å) after each atom.
Sites, in units of the cell vectors:
N1 0.7083 0.1235 0.4901  3 Fe 1.76-1.81
N2 0.2917 0.8765 0.5099  3 Fe 1.76-1.81
N3 0.7917 0.6235 0.5099  3 Fe 1.76-1.81
N4 0.2083 0.3765 0.4901  3 Fe 1.76-1.81
Fe1 0.1446 0.6450 0.5806  3 N 1.76-1.81
Fe2 0.8554 0.3550 0.4194  3 N 1.76-1.81
Fe3 0.6446 0.8550 0.5806  3 N 1.76-1.81
Fe4 0.3554 0.1450 0.4194  3 N 1.76-1.81
Na1 0.3175 0.5853 0.1614  3 N 2.53-2.73
Na2 0.6825 0.4147 0.8386  3 N 2.53-2.73
Na3 0.1825 0.0853 0.8386  3 N 2.53-2.73
Na4 0.8175 0.9147 0.1614  3 N 2.53-2.73

=====

First-principles (PBE) data for a relaxed NaFeN crystal, as listed in Alexandria via LeMat-Bulk.

Polymorph energy (0 for the lowest one): 58 meV/atom
Space-group type: Pnma

abc: 3.5033 6.0894 8.7152
angles: 90.00 90.00 90.00
With the nearest neighbours (Å) after each atom.
Sites, in units of the cell vectors:
Na1 0.2500 0.0656 0.6782  2 N 2.50-2.52
Na2 0.7500 0.9344 0.3218  2 N 2.50-2.52
Na3 0.2500 0.4344 0.1782  2 N 2.50-2.52
Na4 0.7500 0.5656 0.8218  2 N 2.50-2.52
Fe1 0.7500 0.1197 0.9719  3 N 1.78-1.88
Fe2 0.7500 0.3803 0.4719  3 N 1.78-1.88
Fe3 0.2500 0.8803 0.0281  3 N 1.78-1.88
Fe4 0.2500 0.6197 0.5281  3 N 1.78-1.88
N1 0.7500 0.8279 0.0419  3 Fe 1.78-1.88
N2 0.2500 0.3279 0.4581  3 Fe 1.78-1.88
N3 0.7500 0.6721 0.5419  3 Fe 1.78-1.88
N4 0.2500 0.1721 0.9581  3 Fe 1.78-1.88

=====

First-principles (PBE) data for a relaxed Na2FeN2 crystal, as listed in Alexandria via LeMat-Bulk.

Space-group type: Ibam

abc: 4.7926 6.0747 6.0747
angles: 54.70 66.77 66.77
With the nearest neighbours (Å) after each atom.
Sites, in units of the cell vectors:
Na1 0.8442 0.0266 0.2850  5 N 2.41-2.67
Na2 0.3442 0.2850 0.0266  5 N 2.41-2.67
Na3 0.1558 0.9734 0.7150  5 N 2.41-2.67
Na4 0.6558 0.7150 0.9734  5 N 2.41-2.67
N1 0.0974 0.5884 0.2167  2 Fe 1.84
N2 0.5974 0.2167 0.5884  2 Fe 1.84
N3 0.9026 0.4116 0.7833  2 Fe 1.84
N4 0.4026 0.7833 0.4116  2 Fe 1.84
Fe1 0.2500 0.5000 0.5000  4 N 1.84
Fe2 0.7500 0.5000 0.5000  4 N 1.84

=====

First-principles (PBE) data for a relaxed NaFeN crystal, as listed in Alexandria via LeMat-Bulk.

Polymorph energy (0 for the lowest one): 197 meV/atom
Space-group type: Cmmm

abc: 5.1171 5.1171 3.4641
angles: 90.00 90.00 98.95
With the nearest neighbours (Å) after each atom.
Sites, in units of the cell vectors:
Na1 0.2862 0.7138 0.5000  4 N 2.54-2.63
Na2 0.7138 0.2862 0.5000  4 N 2.54-2.63
N1 0.7890 0.7890 0.5000  2 Fe 1.75
N2 0.2110 0.2110 0.5000  2 Fe 1.75
Fe1 0.8286 0.8286 0.0000  2 N 1.75
Fe2 0.1714 0.1714 0.0000  2 N 1.75

=====

First-principles (PBE) data for a relaxed Na3FeN crystal, as listed in Alexandria via LeMat-Bulk.

Polymorph energy (0 for the lowest one): 777 meV/atom
Space-group type: Pm-3m

abc: 5.5723 5.5723 5.5723
angles: 90.00 90.00 90.00
With the nearest neighbours (Å) after each atom.
Sites, in units of the cell vectors:
Na1 0.0000 0.5000 0.0000  2 Fe 2.79
Na2 0.0000 0.0000 0.5000  2 Fe 2.79
Na3 0.5000 0.0000 0.0000  2 Fe 2.79
N1 0.5000 0.5000 0.5000  12 Na 3.94
Fe1 0.0000 0.0000 0.0000  6 Na 2.79

=====

First-principles (PBE) data for a relaxed NaFe2N crystal, as listed in Alexandria via LeMat-Bulk.

Space-group type: I4_1/amd

abc: 5.9915 5.9915 5.8008
angles: 58.91 58.91 90.00
With the nearest neighbours (Å) after each atom.
Sites, in units of the cell vectors:
Na1 0.0000 0.0000 0.0000  12 Fe 3.33-3.49, 4 Na 3.59, 4 N 3.59
Na2 0.7500 0.2500 0.5000  12 Fe 3.33-3.49, 4 Na 3.59, 4 N 3.59
N1 0.5000 0.5000 0.0000  4 Fe 1.80
N2 0.2500 0.7500 0.5000  4 Fe 1.80
Fe1 0.8750 0.6252 0.7500  2 N 1.80
Fe2 0.3748 0.6250 0.2500  2 N 1.80
Fe3 0.3750 0.6248 0.7500  2 N 1.80
Fe4 0.3752 0.1250 0.2500  2 N 1.80

=====

Sequential Fermi-level density of states output: 10.54, 10.28, 10.37, 8.17, 10.84, 8.33, 6.68, 5.42, 14.62, 5.42, 0.27, 1.12, 3.62, 2.50, 3.52, 10.32, 3.99, 2.63, 4.55, 9.61 states/eV/cell
Sequential formation energy without anion corrections output: -54, 100, 81, 9, 71, -32, 248, 279, 1572, 100, -81, 182, 1727, 269, -111, -53, -74, 86, 1649, 261 meV per atom
Sequential E_tot output: -270.3, -99.5, -83.3, -100.6, -99.9, -76.0, -49.2, -48.7, -39.8, -38.1, -36.7, -17.6, -19.1, -17.3, -73.8, -73.1, -56.2, -35.7, -12.5, -51.1 eV per cell